Material: MnFeN2F
Method: DFT, PBE+U
State: relaxed

Cell lengths 3.797, 3.797, 4.027 Å; angles 90.00, 90.00, 90.00 degrees
Positions (direct):
1 Mn 0.000 0.000 0.000
2 Fe 0.500 0.500 0.500
3 N 0.000 0.500 0.500
4 N 0.500 0.000 0.500
5 F 0.500 0.500 0.000

Output
- D(E_F): 0.191 states/eV/atom
- E_tot: -30.72 eV per cell